Entry 1:
DFT (PBE) results for a relaxed Nb5Ga2Sb crystal.

Results
As for the raw formation energy: -35 kJ per mole of atoms. For the calculated density, the calculation gives 8.4 g cm⁻³. As for the crystal system: tetragonal.

Lattice parameters (Å, degrees): 6.841 6.841 12.269 90.00 90.00 90.00
Space group I4/mcm (No. 140)
One atom of each set of equivalent atoms:
Nb  0.000  0.000  0.000 [4 per cell]
Nb  0.163  0.337  0.148 [16 per cell]
Ga  0.133  0.367  0.500 [8 per cell]
Sb  0.000  0.000  0.250 [4 per cell]

=====

Entry 2:
DFT (PBE) results for a relaxed KRbAg crystal.

Results
The formation energy is 0.092 eV per atom. For the calculated density, the calculation gives 2.5 g cm⁻³. As for the crystal system: cubic.

Lattice parameters (Å, degrees): 8.525 8.525 8.525 90.00 90.00 90.00
Space group F-43m (No. 216)
One atom of each set of equivalent atoms:
K  0.000  0.000  0.000 [4 per cell]
Rb  0.000  0.000  0.500 [4 per cell]
Ag  0.250  0.250  0.250 [4 per cell]

=====

Entry 3:
DFT (PBE) results for a relaxed Sm2YRu crystal.

Results
The formation energy is 0.170 eV per atom. For the calculated density, the calculation gives 6.9 g cm⁻³. As for the crystal system: trigonal.

Lattice parameters (Å, degrees): 3.5775 3.5775 32.0701 90.00 90.00 120.00
Space group R-3m (No. 166, hexagonal axes)
One atom of each set of equivalent atoms:
Sm  0.0000  0.0000  0.1070 [6 per cell]
Y  0.0000  0.0000  0.0000 [3 per cell]
Ru  0.0000  0.0000  0.5000 [3 per cell]